## K2AcUS4 (GGA-PBE)

Data for a relaxed structure of K2AcUS4.

a = 7.403 Å, b = 4.249 Å, c = 7.814 Å
α = 90.00°, β = 108.31°, γ = 90.00°
Positions (direct):
K: 0.000 0.000 0.000
K: 0.500 0.500 0.000
Ac: 0.000 0.500 0.500
U: 0.500 0.000 0.500
S: 0.255 0.000 0.713
S: 0.282 0.500 0.296
S: 0.718 0.500 0.704
S: 0.745 0.000 0.287

* SG: P2/m (10)
* E: -5.861 eV per atom